Here is a PBEsol-optimized structure of SrCa2Cu from Alexandria via LeMat-Bulk. Energies are from SCAN.

Values from the calculation:
Energy above the lowest structure with this stoichiometry: 1 meV/atom
M_tot: 0.0 μB/cell
Calculated formation energy: 22 meV per atom

Cell: 3.6712 3.6712 9.6145 Å, 90.00 90.00 90.00°
Last column: nearest neighbours and their distance in Å.
Element x y z (fractional)
Sr 0.0000 0.0000 0.0000  4 Sr 3.67, 8 Ca 4.08
Ca 0.5000 0.5000 0.3269  4 Cu 3.08, 1 Ca 3.33
Ca 0.5000 0.5000 0.6731  4 Cu 3.08, 1 Ca 3.33
Cu 0.0000 0.0000 0.5000  8 Ca 3.08

---

Here is a PBEsol-optimized structure of NaSn2Au from Alexandria via LeMat-Bulk. Energies are from SCAN.

Values from the calculation:
M_tot: 0.0 μB/cell
Calculated formation energy: -89 meV per atom

Cell: 4.9839 4.9839 4.9839 Å, 60.00 60.00 60.00°
Last column: nearest neighbours and their distance in Å.
Element x y z (fractional)
Na 0.0000 0.0000 0.0000  8 Sn 3.05
Sn 0.2500 0.2500 0.2500  4 Au 3.05, 4 Na 3.05
Sn 0.7500 0.7500 0.7500  4 Na 3.05, 4 Au 3.05
Au 0.5000 0.5000 0.5000  8 Sn 3.05

---

Here is a PBEsol-optimized structure of BaSr2 from Alexandria via LeMat-Bulk. Energies are from SCAN.

Values from the calculation:
Energy above the lowest structure with this stoichiometry: 113 meV/atom
M_tot: 0.4 μB/cell
Calculated formation energy: 103 meV per atom

Cell: 20.0968 20.0968 20.0968 Å, 168.32 168.32 16.55°
Last column: nearest neighbours and their distance in Å.
Element x y z (fractional)
Ba 0.3750 0.6250 0.7500  4 Ba 4.09, 8 Sr 4.32
Ba 0.6250 0.3750 0.2500  4 Ba 4.09, 8 Sr 4.32
Sr 0.0444 0.7944 0.2500  6 Sr 4.08-4.09, 4 Ba 4.32
Sr 0.2056 0.9556 0.2500  6 Sr 4.08-4.09, 4 Ba 4.32
Sr 0.7944 0.0444 0.7500  6 Sr 4.08-4.09, 4 Ba 4.32
Sr 0.9556 0.2056 0.7500  6 Sr 4.08-4.09, 4 Ba 4.32

---

Here is a PBEsol-optimized structure of KFeAs2 from Alexandria via LeMat-Bulk. Energies are from SCAN.

Values from the calculation:
M_tot: 1.7 μB/cell
Calculated formation energy: -197 meV per atom

Cell: 6.9410 6.9410 6.9410 Å, 32.18 32.18 32.18°
Last column: nearest neighbours and their distance in Å.
Element x y z (fractional)
K 0.0000 0.0000 0.0000  6 As 3.26
Fe 0.5000 0.5000 0.5000  6 As 2.40
As 0.2126 0.2126 0.2126  3 Fe 2.40
As 0.7874 0.7874 0.7874  3 Fe 2.40

---

Here is a PBEsol-optimized structure of SbPbF7 from Alexandria via LeMat-Bulk. Energies are from SCAN.

Values from the calculation:
ΔE_f (raw): -2.468 eV/atom
M_tot: 0.0 μB/cell

Cell: 4.7345 7.3363 7.7655 Å, 105.65 100.36 90.26°
Last column: nearest neighbours and their distance in Å.
Element x y z (fractional)
Sb 0.1565 0.3139 0.2155  6 F 1.90-1.92
Sb 0.8435 0.6861 0.7845  6 F 1.90-1.92
Pb 0.3085 0.1460 0.6923  3 F 2.28-2.52
Pb 0.6915 0.8540 0.3077  3 F 2.28-2.52
F 0.0098 0.5496 0.3242  1 Sb 1.90
F 0.0577 0.7016 0.0211  1 Sb 1.91
F 0.1483 0.8204 0.7302  1 Sb 1.91
F 0.2212 0.9307 0.4123  3 Pb 2.28-2.52
F 0.3098 0.0786 0.1099  1 Sb 1.91
F 0.3753 0.3123 0.4489  1 Sb 1.92
F 0.4593 0.4508 0.1655  1 Sb 1.90
F 0.5407 0.5492 0.8345  1 Sb 1.90
F 0.6247 0.6877 0.5511  1 Sb 1.92
F 0.6902 0.9214 0.8901  1 Sb 1.91
F 0.7788 0.0693 0.5877  3 Pb 2.28-2.52
F 0.8517 0.1796 0.2698  1 Sb 1.91
F 0.9423 0.2984 0.9789  1 Sb 1.91
F 0.9902 0.4504 0.6758  1 Sb 1.90

---

Here is a PBEsol-optimized structure of MnIn from Alexandria via LeMat-Bulk. Energies are from SCAN.

Values from the calculation:
M_tot: 3.7 μB/cell
Calculated formation energy: 56 meV per atom

Cell: 4.7434 4.7434 4.7434 Å, 37.13 37.13 37.13°
Last column: nearest neighbours and their distance in Å.
Element x y z (fractional)
Mn 0.0000 0.0000 0.0000  6 In 2.81, 6 Mn 3.02
In 0.5000 0.5000 0.5000  6 Mn 2.81, 6 In 3.02

---

Here is a PBEsol-optimized structure of KZnCd2 from Alexandria via LeMat-Bulk. Energies are from SCAN.

Values from the calculation:
M_tot: 0.0 μB/cell
Calculated formation energy: 67 meV per atom

Cell: 3.0538 4.7224 7.0230 Å, 90.00 102.27 90.00°
Last column: nearest neighbours and their distance in Å.
Element x y z (fractional)
K 0.0000 0.0000 0.0000  2 K 3.05, 4 Zn 3.41
Zn 0.6385 0.5000 0.2812  4 Cd 2.75-3.05, 2 Zn 3.05
Cd 0.3330 0.5000 0.6636  2 Zn 3.02-3.05, 6 Cd 3.05-3.06
Cd 0.7457 0.0000 0.4864  2 Zn 2.75, 6 Cd 3.05-3.06

---

Here is a PBEsol-optimized structure of AlZnPt from Alexandria via LeMat-Bulk. Energies are from SCAN.

Values from the calculation:
M_tot: 0.0 μB/cell
Calculated formation energy: -605 meV per atom

Cell: 5.7708 5.7708 5.7708 Å, 151.49 151.49 40.76°
Last column: nearest neighbours and their distance in Å.
Element x y z (fractional)
Al 0.0000 0.0000 0.0000  4 Pt 2.59, 4 Zn 2.78, 4 Al 2.84
Zn 0.3218 0.3218 0.0000  4 Pt 2.73, 4 Al 2.78, 4 Zn 2.84
Pt 0.6510 0.6510 0.0000  4 Al 2.59, 4 Zn 2.73, 4 Pt 2.84

---

Here is a PBEsol-optimized structure of HfMgCr2F from Alexandria via LeMat-Bulk. Energies are from SCAN.

Values from the calculation:
ΔE_f (raw): 0.103 eV/atom
M_tot: 8.8 μB/cell

Cell: 5.2115 5.2115 3.4859 Å, 90.00 90.00 90.00°
Last column: nearest neighbours and their distance in Å.
Element x y z (fractional)
Hf 0.0000 0.0000 0.0000  8 Cr 3.13, 2 Hf 3.49
Mg 0.5000 0.5000 0.5000  2 F 1.74
Cr 0.0000 0.5000 0.5000  2 Mg 2.61
Cr 0.5000 0.0000 0.5000  2 Mg 2.61
F 0.5000 0.5000 0.0000  2 Mg 1.74

---

Here is a PBEsol-optimized structure of Na2NbIn2 from Alexandria via LeMat-Bulk. Energies are from SCAN.

Values from the calculation:
M_tot: 1.6 μB/cell
Calculated formation energy: 540 meV per atom

Cell: 5.3773 5.3773 5.7716 Å, 90.00 90.00 90.00°
Last column: nearest neighbours and their distance in Å.
Element x y z (fractional)
Na 0.0000 0.0000 0.0000  2 Nb 2.89
Na 0.5000 0.5000 0.0000  4 Na 3.80, 8 In 3.94
Nb 0.0000 0.0000 0.5000  4 In 2.69, 2 Na 2.89
In 0.0000 0.5000 0.5000  2 Nb 2.69
In 0.5000 0.0000 0.5000  2 Nb 2.69

---

Here is a PBEsol-optimized structure of HfTiO2F from Alexandria via LeMat-Bulk. Energies are from SCAN.

Values from the calculation:
ΔE_f (raw): -2.041 eV/atom
M_tot: 2.6 μB/cell

Cell: 3.8896 3.8896 3.8575 Å, 90.00 90.00 90.00°
Last column: nearest neighbours and their distance in Å.
Element x y z (fractional)
Hf 0.0000 0.0000 0.0000  8 O 2.74, 4 F 2.75
Ti 0.5000 0.5000 0.5000  2 F 1.93, 4 O 1.94
O 0.0000 0.5000 0.5000  2 Ti 1.94
O 0.5000 0.0000 0.5000  2 Ti 1.94
F 0.5000 0.5000 0.0000  2 Ti 1.93

---

Here is a PBEsol-optimized structure of CrRePt from Alexandria via LeMat-Bulk. Energies are from SCAN.

Values from the calculation:
Energy above the lowest structure with this stoichiometry: 0 meV/atom
M_tot: 0.0 μB/cell
Calculated formation energy: 18 meV per atom

Cell: 4.2342 4.2342 2.6613 Å, 90.00 90.00 120.00°
Last column: nearest neighbours and their distance in Å.
Element x y z (fractional)
Cr 0.0000 0.0000 0.0000  3 Re 2.44, 2 Cr 2.66
Re 0.3333 0.6667 0.0000  3 Cr 2.44, 2 Re 2.66
Pt 0.6667 0.3333 0.5000  2 Pt 2.66, 6 Cr 2.78, 6 Re 2.78